A plane-wave DFT calculation with PBE was carried out for TbY6Ho2Er3 after structural relaxation.

Properties
Its energy of formation is 0.024 eV per atom.

abc: 6.1398 6.1398 11.7595
angles: 94.98 94.98 119.94
Fractional positions:
Tb 0.0000 0.0000 0.0000
Y 0.0838 0.4173 0.2507
Y 0.2497 0.2497 0.7493
Y 0.4173 0.0838 0.2507
Y 0.5827 0.9162 0.7493
Y 0.7503 0.7503 0.2507
Y 0.9162 0.5827 0.7493
Ho 0.3334 0.6666 0.0000
Ho 0.6666 0.3334 0.0000
Er 0.1667 0.8333 0.5000
Er 0.5000 0.5000 0.5000
Er 0.8333 0.1667 0.5000